(1)
A plane-wave DFT calculation with GGA-PBEsol was carried out for a geometry-optimized SiNi2Ir structure.

Output
For the calculated volume, the calculation gives 11.6 Å³/atom. The value obtained for the density of states at the Fermi level is 3.630 states/eV/cell. As for the total energy: -7.404 eV/atom.

a b c (Å): 3.5371 3.5371 3.6952
angles (deg): 90.00 90.00 90.00
Sites, in units of the cell vectors:
Ir  0.0000  0.0000  0.5000
Si  0.5000  0.5000  0.5000
Ni  0.5000  0.0000  0.0000
Ni  0.0000  0.5000  0.0000



(2)
A plane-wave DFT calculation with GGA-PBEsol was carried out for a geometry-optimized NaSi2Pt2 structure.

Output
For the calculated volume, the calculation gives 17.4 Å³/atom. The value obtained for the density of states at the Fermi level is 1.901 states/eV/cell. As for the total energy: -5.909 eV/atom.

a b c (Å): 4.0879 4.0879 5.9503
angles (deg): 110.09 110.09 90.00
Sites, in units of the cell vectors:
Pt  0.3694  0.3694  0.7388
Pt  0.6306  0.6306  0.2612
Si  0.7500  0.2500  0.5000
Si  0.2500  0.7500  0.5000
Na  0.0000  0.0000  0.0000



(3)
A plane-wave DFT calculation with GGA-PBEsol was carried out for a geometry-optimized In2Si2Hg structure.

Output
For the calculated volume, the calculation gives 21.4 Å³/atom. The value obtained for the density of states at the Fermi level is 1.924 states/eV/cell. As for the total energy: -3.459 eV/atom.

a b c (Å): 3.4890 3.4890 9.1454
angles (deg): 101.00 101.00 90.00
Sites, in units of the cell vectors:
Hg  0.0000  0.0000  0.0000
In  0.3893  0.3893  0.7786
In  0.6107  0.6107  0.2214
Si  0.2500  0.7500  0.5000
Si  0.7500  0.2500  0.5000



(4)
A plane-wave DFT calculation with GGA-PBEsol was carried out for a geometry-optimized Tb5SbPt2 structure.

Output
For the calculated volume, the calculation gives 24.8 Å³/atom. The value obtained for the density of states at the Fermi level is 13.537 states/eV/cell. As for the total energy: -6.421 eV/atom.

a b c (Å): 7.7200 8.6121 7.7200
angles (deg): 116.63 90.00 116.63
Sites, in units of the cell vectors:
Tb  0.5192  0.7220  0.7029
Tb  0.7029  0.7220  0.2029
Tb  0.0192  0.7220  0.5192
Tb  0.7971  0.2780  0.9808
Tb  0.0000  0.0000  0.0000
Tb  0.9808  0.2780  0.4808
Tb  0.2029  0.7220  0.0192
Tb  0.2971  0.2780  0.7971
Tb  0.4808  0.2780  0.2971
Tb  0.5000  0.0000  0.5000
Pt  0.8637  0.0000  0.6363
Pt  0.3637  0.0000  0.8637
Pt  0.1363  0.0000  0.3637
Pt  0.6363  0.0000  0.1363
Sb  0.2500  0.5000  0.2500
Sb  0.7500  0.5000  0.7500



(5)
A plane-wave DFT calculation with GGA-PBEsol was carried out for a geometry-optimized CsLaS2 structure.

Output
For the calculated volume, the calculation gives 25.3 Å³/atom. As for the total energy: -5.203 eV/atom.

a b c (Å): 5.2307 5.2307 5.2307
angles (deg): 60.00 60.00 60.00
Sites, in units of the cell vectors:
Cs  0.0000  0.0000  0.0000
S  0.7500  0.7500  0.7500
S  0.2500  0.2500  0.2500
La  0.5000  0.5000  0.5000



(6)
A plane-wave DFT calculation with GGA-PBEsol was carried out for a geometry-optimized MgZrHg2 structure.

Output
For the calculated volume, the calculation gives 20.9 Å³/atom. The value obtained for the density of states at the Fermi level is 2.656 states/eV/cell. The formation energy is -0.18 eV/atom. As for the total energy: -3.162 eV/atom.

a b c (Å): 3.0510 5.2582 5.7363
angles (deg): 108.64 105.42 90.00
Sites, in units of the cell vectors:
Mg  0.4948  0.4296  0.9896
Zr  0.2594  0.8268  0.5187
Hg  0.0043  0.9234  0.0085
Hg  0.7416  0.3202  0.4832



(7)
A plane-wave DFT calculation with GGA-PBEsol was carried out for a geometry-optimized LaZrFeOs2 structure.

Output
For the calculated volume, the calculation gives 21.6 Å³/atom. The value obtained for the density of states at the Fermi level is 4.292 states/eV/cell. The formation energy is 1.17 eV/atom. As for the total energy: -8.401 eV/atom.

a b c (Å): 4.5343 4.8858 4.8858
angles (deg): 90.00 90.00 90.00
Sites, in units of the cell vectors:
Os  0.0000  0.5000  0.0000
Os  0.0000  0.0000  0.5000
La  0.5000  0.5000  0.5000
Fe  0.5000  0.0000  0.0000
Zr  0.0000  0.0000  0.0000



(8)
A plane-wave DFT calculation with GGA-PBEsol was carried out for a geometry-optimized NaTi3Br structure.

Output
The calculation puts the polymorph energy (0 for the lowest one) at 24.23 kcal/mol of atoms. For the calculated volume, the calculation gives 22.1 Å³/atom. The value obtained for the density of states at the Fermi level is 5.157 states/eV/cell. As for the total energy: -3.965 eV/atom.

a b c (Å): 4.7989 4.7989 4.7989
angles (deg): 90.00 90.00 90.00
Sites, in units of the cell vectors:
Br  0.5000  0.5000  0.5000
Ti  0.0000  0.0000  0.5000
Ti  0.5000  0.0000  0.0000
Ti  0.0000  0.5000  0.0000
Na  0.0000  0.0000  0.0000



(9)
A plane-wave DFT calculation with GGA-PBEsol was carried out for a geometry-optimized BaV2ZnO7 structure.

Output
The calculation puts the polymorph energy (0 for the lowest one) at 0.00 kcal/mol of atoms. For the calculated volume, the calculation gives 14.1 Å³/atom. The value obtained for the density of states at the Fermi level is 0.000 states/eV/cell. As for the total energy: -7.838 eV/atom.

a b c (Å): 5.5494 7.4460 15.1207
angles (deg): 90.00 90.00 96.96
Sites, in units of the cell vectors:
V  0.2482  0.3337  0.3675
V  0.7518  0.6663  0.6325
V  0.2518  0.1663  0.8675
V  0.2942  0.2125  0.0634
V  0.7482  0.8337  0.1325
V  0.7942  0.7125  0.4366
V  0.7058  0.7875  0.9366
V  0.2058  0.2875  0.5634
O  0.2675  0.1193  0.1629
O  0.2552  0.4434  0.4733
O  0.0797  0.8221  0.4466
O  0.5797  0.3221  0.0534
O  0.7437  0.9780  0.2165
O  0.9144  0.6326  0.9466
O  0.4203  0.6779  0.9466
O  0.9891  0.7091  0.1428
O  0.2563  0.0220  0.7835
O  0.7675  0.6193  0.3371
O  0.0109  0.2909  0.8572
O  0.2448  0.0566  0.9733
O  0.9853  0.1927  0.3636
O  0.0856  0.3674  0.0534
O  0.0147  0.8073  0.6364
O  0.7552  0.9434  0.0267
O  0.7448  0.5566  0.5267
O  0.2437  0.4780  0.2835
O  0.5856  0.8674  0.4466
O  0.2325  0.3807  0.6629
O  0.7563  0.5220  0.7165
O  0.4891  0.2091  0.3572
O  0.5147  0.3073  0.8636
O  0.5109  0.7909  0.6428
O  0.4144  0.1326  0.5534
O  0.7325  0.8807  0.8371
O  0.4853  0.6927  0.1364
O  0.9203  0.1779  0.5534
Ba  0.7834  0.3528  0.2162
Ba  0.7166  0.1472  0.7162
Ba  0.2166  0.6472  0.7838
Ba  0.2834  0.8528  0.2838
Zn  0.7034  0.1323  0.4510
Zn  0.2034  0.6323  0.0490
Zn  0.7966  0.3677  0.9510
Zn  0.2966  0.8677  0.5490



(10)
A plane-wave DFT calculation with GGA-PBEsol was carried out for a geometry-optimized SrYO2F structure.

Output
For the calculated volume, the calculation gives 17.8 Å³/atom. The value obtained for the density of states at the Fermi level is 1.363 states/eV/cell. As for the total energy: -6.233 eV/atom.

a b c (Å): 4.2567 4.5663 4.5663
angles (deg): 90.00 90.00 90.00
Sites, in units of the cell vectors:
F  0.5000  0.0000  0.0000
O  0.0000  0.5000  0.0000
O  0.0000  0.0000  0.5000
Y  0.5000  0.5000  0.5000
Sr  0.0000  0.0000  0.0000



(11)
A plane-wave DFT calculation with GGA-PBEsol was carried out for a geometry-optimized CaYIn2 structure.

Output
For the calculated volume, the calculation gives 26.7 Å³/atom. The value obtained for the density of states at the Fermi level is 5.057 states/eV/cell. The formation energy is -0.35 eV/atom. As for the total energy: -4.079 eV/atom.

a b c (Å): 4.5236 4.5236 6.1199
angles (deg): 111.69 111.69 90.00
Sites, in units of the cell vectors:
In  0.0000  0.0000  0.0000
In  0.7500  0.2500  0.5000
Ca  0.2500  0.7500  0.5000
Y  0.5000  0.5000  0.0000



(12)
A plane-wave DFT calculation with GGA-PBEsol was carried out for a geometry-optimized ZrBeH2Pt structure.

Output
For the calculated volume, the calculation gives 13.4 Å³/atom. The value obtained for the density of states at the Fermi level is 3.113 states/eV/cell. As for the total energy: -4.869 eV/atom.

a b c (Å): 3.5788 3.5788 5.2370
angles (deg): 90.00 90.00 90.00
Sites, in units of the cell vectors:
Be  0.5000  0.5000  0.5000
H  0.0000  0.5000  0.0000
H  0.5000  0.0000  0.0000
Zr  0.0000  0.0000  0.5000
Pt  0.0000  0.0000  0.0000